# 1
Density functional theory data (PBEsol) for a geometry-optimized PBr2N structure.

Values from the calculation:
* crystal system: triclinic
* E_form (uncorrected): -0.351 eV/atom
* offset from the most stable computed form: 0.000 eV per atom

Cell: 9.7452 10.5266 12.4220 Å, 100.82 113.09 95.05°
Last column: nearest neighbours and their distance in Å.
Space group P-1 (No. 2)
One atom of each set of equivalent atoms:
P 0.1024 0.3148 0.3940  2 N 1.57-1.59
P 0.1498 0.4839 0.2513  2 N 1.58
P 0.2025 0.0560 0.3506  2 N 1.57-1.59
P 0.2993 0.0194 0.1582  2 N 1.58
P 0.3179 0.3015 0.1666  2 N 1.57-1.58
Br 0.0162 0.0795 0.7265  1 P 2.20
Br 0.0692 0.4721 0.8617  1 P 2.19
Br 0.1374 0.8593 0.0134  1 P 2.18
Br 0.1454 0.7448 0.6868  1 P 2.20
Br 0.1622 0.3544 0.5872  1 P 2.18
Br 0.3046 0.6717 0.3117  1 P 2.19
Br 0.3146 0.0294 0.5331  1 P 2.18
Br 0.4174 0.3711 0.0511  1 P 2.21
Br 0.4788 0.0192 0.8342  1 P 2.20
Br 0.4893 0.6449 0.6549  1 P 2.20
N 0.1479 0.4518 0.3701  2 P 1.58-1.59
N 0.1789 0.2020 0.3509  2 P 1.57
N 0.1841 0.3780 0.1607  2 P 1.58
N 0.2636 0.1487 0.1138  2 P 1.57-1.58
N 0.3047 0.0063 0.2844  2 P 1.58-1.59

***

# 2
Density functional theory data (PBEsol) for a geometry-optimized CaCr2Mo structure.

Values from the calculation:
* crystal system: cubic
* offset from the most stable computed form: 0.224 eV per atom

Cell: 6.3565 6.3565 6.3565 Å, 90.00 90.00 90.00°
Last column: nearest neighbours and their distance in Å.
Space group Fm-3m (No. 225)
One atom of each set of equivalent atoms:
Ca 0.0000 0.0000 0.0000  8 Cr 2.75
Cr 0.2500 0.2500 0.2500  4 Mo 2.75, 4 Ca 2.75
Mo 0.0000 0.0000 0.5000  8 Cr 2.75

***

# 3
Density functional theory data (PBEsol) for a geometry-optimized Li7Mn4O12 structure.

Values from the calculation:
* crystal system: monoclinic
* E_form (uncorrected): -1.916 eV/atom

Cell: 4.8937 8.4467 9.4705 Å, 90.00 99.42 90.00°
Last column: nearest neighbours and their distance in Å.
Space group C2/m (No. 12)
One atom of each set of equivalent atoms:
Li 0.0000 0.0000 0.0000  6 O 2.03-2.05
Li 0.2410 0.5000 0.2542  6 O 1.94-2.16
Li 0.2415 0.3443 0.7465  6 O 1.97-2.19
Mn 0.0000 0.1677 0.5000  6 O 1.86-1.88
Mn 0.0000 0.3321 0.0000  6 O 1.88-1.91
O 0.0900 0.0000 0.3854  2 Mn 1.88, 3 Li 1.94-2.08
O 0.1066 0.5000 0.8854  2 Mn 1.91, 4 Li 1.98-2.05
O 0.1426 0.1786 0.8875  2 Mn 1.88-1.90, 2 Li 2.03-2.05
O 0.1501 0.3137 0.3868  2 Mn 1.86-1.87, 1 Li 1.97

***

# 4
Density functional theory data (PBEsol) for a geometry-optimized YMoPb structure.

Values from the calculation:
* crystal system: cubic
* offset from the most stable computed form: 0.252 eV per atom

Cell: 6.7156 6.7156 6.7156 Å, 90.00 90.00 90.00°
Last column: nearest neighbours and their distance in Å.
Space group F-43m (No. 216)
One atom of each set of equivalent atoms:
Y 0.0000 0.0000 0.0000  4 Mo 2.91
Mo 0.2500 0.2500 0.7500  4 Pb 2.91, 4 Y 2.91
Pb 0.0000 0.0000 0.5000  4 Mo 2.91

***

# 5
Density functional theory data (PBEsol) for a geometry-optimized KPbW3 structure.

Values from the calculation:
* crystal system: cubic
* offset from the most stable computed form: 0.336 eV per atom

Cell: 4.5959 4.5959 4.5959 Å, 90.00 90.00 90.00°
Last column: nearest neighbours and their distance in Å.
Space group Pm-3m (No. 221)
One atom of each set of equivalent atoms:
K 0.0000 0.0000 0.0000  6 W 2.30
Pb 0.5000 0.5000 0.5000  12 W 3.25
W 0.0000 0.0000 0.5000  2 K 2.30

***

# 6
Density functional theory data (PBEsol) for a geometry-optimized CaMgTaRh2 structure.

Values from the calculation:
* crystal system: tetragonal
* raw total energy: -5.78 eV per atom

Cell: 4.7074 4.7074 5.2895 Å, 90.00 90.00 90.00°
Last column: nearest neighbours and their distance in Å.
Space group P4/mmm (No. 123)
One atom of each set of equivalent atoms:
Ca 0.0000 0.0000 0.0000  2 Ta 2.64
Mg 0.5000 0.5000 0.0000  4 Ca 3.33, 8 Rh 3.54
Ta 0.0000 0.0000 0.5000  4 Rh 2.35
Rh 0.0000 0.5000 0.5000  2 Ta 2.35

***

# 7
Density functional theory data (PBEsol) for a geometry-optimized CrBi2F structure.

Values from the calculation:
* crystal system: tetragonal
* E_form (uncorrected): -0.002 eV/atom

Cell: 4.6552 4.6552 17.5155 Å, 90.00 90.00 90.00°
Last column: nearest neighbours and their distance in Å.
Space group I-42d (No. 122)
One atom of each set of equivalent atoms:
Cr 0.0000 0.0000 0.0000  4 Bi 2.76
Bi 0.2402 0.2500 0.6250  2 F 2.72, 2 Cr 2.76
F 0.0000 0.0000 0.5000  4 Bi 2.72

***

# 8
Density functional theory data (PBEsol) for a geometry-optimized YHfNbCu2 structure.

Values from the calculation:
* crystal system: tetragonal
* raw total energy: -6.07 eV per atom

Cell: 4.7052 4.7052 4.8988 Å, 90.00 90.00 90.00°
Last column: nearest neighbours and their distance in Å.
Space group P4/mmm (No. 123)
One atom of each set of equivalent atoms:
Y 0.0000 0.0000 0.0000  2 Nb 2.45
Hf 0.5000 0.5000 0.0000  4 Y 3.33, 8 Cu 3.40
Nb 0.0000 0.0000 0.5000  4 Cu 2.35, 2 Y 2.45
Cu 0.0000 0.5000 0.5000  2 Nb 2.35

***

# 9
Density functional theory data (PBEsol) for a geometry-optimized ScAl2As structure.

Values from the calculation:
* crystal system: trigonal
* raw total energy: -5.04 eV per atom

Cell: 3.3191 3.3191 24.5287 Å, 90.00 90.00 120.00°
Last column: nearest neighbours and their distance in Å.
Space group R-3m (No. 166, hexagonal axes)
One atom of each set of equivalent atoms:
Sc 0.0000 0.0000 0.0000  6 Al 2.99, 6 Sc 3.32
Al 0.0000 0.0000 0.2398  3 As 2.62
As 0.0000 0.0000 0.5000  6 Al 2.62

***

# 10
Density functional theory data (PBEsol) for a geometry-optimized Ca2AlSe2 structure.

Values from the calculation:
* crystal system: tetragonal
* E_form (uncorrected): -0.777 eV/atom

Cell: 4.9250 4.9250 12.3519 Å, 90.00 90.00 90.00°
Last column: nearest neighbours and their distance in Å.
Space group I4/mmm (No. 139)
One atom of each set of equivalent atoms:
Ca 0.0000 0.5000 0.2500  4 Se 2.84
Al 0.0000 0.0000 0.0000  8 Se 3.87, 8 Ca 3.95
Se 0.0000 0.0000 0.3643  4 Ca 2.84

***

# 11
Density functional theory data (PBEsol) for a geometry-optimized Bi2Pb3S6 structure.

Values from the calculation:
* crystal system: monoclinic
* E_form (uncorrected): -0.467 eV/atom
* offset from the most stable computed form: 0.000 eV per atom

Cell: 13.4225 4.0412 20.7618 Å, 90.00 92.90 90.00°
Last column: nearest neighbours and their distance in Å.
Space group C2/m (No. 12)
One atom of each set of equivalent atoms:
Bi 0.0960 0.0000 0.1347  5 S 2.64-2.85
Bi 0.1411 0.5000 0.5486  6 S 2.68-2.98
Pb 0.0778 0.0000 0.3631  6 S 2.81-3.08
Pb 0.1361 0.5000 0.9552  5 S 2.76-2.95
Pb 0.1702 0.0000 0.7643  7 S 2.82-3.15
S 0.0000 0.0000 0.0000  4 Pb 2.91, 2 Bi 3.02
S 0.0000 0.0000 0.5000  4 Bi 2.91, 2 Pb 3.08
S 0.0362 0.5000 0.8355  1 Pb 2.76, 2 Bi 2.78
S 0.0656 0.5000 0.6658  1 Bi 2.68, 2 Pb 2.83
S 0.1861 0.0000 0.2507  1 Bi 2.64, 3 Pb 2.81-2.82
S 0.2272 0.5000 0.4188  3 Bi 2.75-2.98, 2 Pb 3.03
S 0.2331 0.5000 0.1000  2 Bi 2.85, 3 Pb 2.95-3.04

***

# 12
Density functional theory data (PBEsol) for a geometry-optimized La2O3 structure.

Values from the calculation:
* crystal system: trigonal
* E_form (uncorrected): -3.453 eV/atom

Cell: 3.9047 3.9047 6.0302 Å, 90.00 90.00 120.00°
Last column: nearest neighbours and their distance in Å.
Space group P-3m1 (No. 164)
One atom of each set of equivalent atoms:
La 0.3333 0.6667 0.2454  4 O 2.35-2.42
O 0.0000 0.0000 0.0000  6 La 2.70
O 0.3333 0.6667 0.6460  4 La 2.35-2.42

***

Number 1: magnetization 0.00 μB/cell. Number 2: magnetization 15.04 μB/cell. Number 3: magnetization 22.00 μB/cell. Number 4: magnetization 4.39 μB/cell. Number 5: magnetization 0.00 μB/cell. Number 6: magnetization 0.00 μB/cell. Number 7: magnetization 14.28 μB/cell. Number 8: magnetization 0.03 μB/cell. Number 9: magnetization 0.01 μB/cell. Number 10: magnetization 0.00 μB/cell. Number 11: magnetization 0.00 μB/cell. Number 12: magnetization 0.00 μB/cell.